# Tm2Ni2Pb SCAN PBEsol geometry
data_Tm2Ni2Pb
_chemical_formula_sum 'Tm4 Ni4 Pb2'
_symmetry_space_group_name_H-M 'C m m m'
_symmetry_Int_Tables_number 65
_symmetry_space_group_name_Hall '-C 2 2'
_cell_length_a 3.887
_cell_length_b 13.922
_cell_length_c 3.578
_cell_angle_alpha 90.00
_cell_angle_beta 90.00
_cell_angle_gamma 90.00
loop_
_atom_site_label
_atom_site_type_symbol
_atom_site_fract_x
_atom_site_fract_y
_atom_site_fract_z
_atom_site_occupancy
Tm1 Tm 0.000 0.141 0.000 1
Ni1 Ni 0.000 0.300 0.500 1
Pb1 Pb 0.000 0.500 0.500 1
# Magnetization (μB/cell): 0.0
# Formation enthalpy at 0 K (eV/atom): -0.6159

# SrNiW2 SCAN PBEsol geometry
data_SrNiW2
_chemical_formula_sum 'Sr1 Ni1 W2'
_symmetry_space_group_name_H-M 'P 4 m m'
_symmetry_Int_Tables_number 99
_symmetry_space_group_name_Hall 'P 4 -2'
_cell_length_a 3.197
_cell_length_b 3.197
_cell_length_c 7.400
_cell_angle_alpha 90.00
_cell_angle_beta 90.00
_cell_angle_gamma 90.00
loop_
_atom_site_label
_atom_site_type_symbol
_atom_site_fract_x
_atom_site_fract_y
_atom_site_fract_z
_atom_site_occupancy
Sr1 Sr 0.000 0.000 0.000 1
Ni1 Ni 0.500 0.500 0.698 1
W1 W 0.000 0.000 0.517 1
W2 W 0.500 0.500 0.339 1
# ΔE to the lowest computed polymorph (eV per formula unit): 0.00
# Magnetization (μB/cell): 0.0
# Formation enthalpy at 0 K (eV/atom): 0.6461